Compound: Pu2Te
Source: Alexandria
Functional: PBE
Structure: relaxed

Lattice parameters (Å, degrees): 4.0327 4.0327 5.6956 110.76 110.76 89.99
Last column: nearest neighbours and their distance in Å.
Element x y z (fractional)
Pu (0.1648, 0.1648, 0.3296)  5 Pu 3.25-3.31, 5 Te 3.28-3.30
Te (0.5000, 0.5000, 0.0000)  10 Pu 3.28-3.30
Pu (0.8352, 0.8352, 0.6704)  5 Pu 3.25-3.31, 5 Te 3.28-3.30

Values from the calculation:
VASP energy	-11.04	eV/atom
formation energy (no corrections)	-0.443	eV/atom

Compound: Zn2CdHgPb
Source: Alexandria
Functional: PBE
Structure: relaxed

Lattice parameters (Å, degrees): 5.0253 5.9260 5.0253 90.00 90.00 90.00
Last column: nearest neighbours and their distance in Å.
Element x y z (fractional)
Cd (0.0000, 0.0000, 0.0000)  4 Zn 2.51
Hg (0.5000, 0.5000, 0.5000)  4 Pb 3.55, 8 Zn 3.88
Zn (0.0000, 0.0000, 0.5000)  2 Cd 2.51
Pb (0.0000, 0.5000, 0.0000)  2 Cd 2.96
Zn (0.5000, 0.0000, 0.0000)  2 Cd 2.51

Values from the calculation:
VASP energy	-1.11	eV/atom
calculated formation energy	0.3847	eV/atom

Compound: Al3Ir
Source: Alexandria
Functional: PBE
Structure: relaxed

Lattice parameters (Å, degrees): 4.9865 4.9865 4.9865 116.40 116.40 116.40
Last column: nearest neighbours and their distance in Å.
Element x y z (fractional)
Al (0.0000, 0.0000, 0.0000)  6 Al 2.63-2.87, 2 Ir 2.63
Ir (0.0000, 0.5000, 0.5000)  6 Al 2.63, 2 Ir 2.87
Al (0.5000, 0.0000, 0.5000)  6 Al 2.63-2.87, 2 Ir 2.63
Al (0.5000, 0.5000, 0.0000)  2 Ir 2.63, 6 Al 2.63-2.87

Values from the calculation:
VASP energy	-5.31	eV/atom
calculated formation energy	-0.2877	eV/atom

Compound: ThSc3S6
Source: Alexandria
Functional: PBE
Structure: relaxed

Lattice parameters (Å, degrees): 3.7920 10.6584 10.8921 109.02 90.00 90.00
Last column: nearest neighbours and their distance in Å.
Element x y z (fractional)
Th (0.7500, 0.0529, 0.7021)  8 S 2.88-2.94
Sc (0.2500, 0.8390, 0.9137)  6 S 2.55-2.62
S (0.2500, 0.6100, 0.9435)  4 Sc 2.57-2.62
S (0.2500, 0.0821, 0.9126)  3 Sc 2.59-2.62
S (0.7500, 0.1236, 0.4668)  2 Sc 2.79, 3 Th 2.88-2.90
Sc (0.2500, 0.3244, 0.5008)  7 S 2.55-2.79
Sc (0.7500, 0.1610, 0.0863)  6 S 2.55-2.62
Sc (0.2500, 0.5572, 0.1623)  6 S 2.58-2.62
S (0.2500, 0.8764, 0.5332)  2 Sc 2.79, 3 Th 2.88-2.90
S (0.7500, 0.9179, 0.0874)  3 Sc 2.59-2.62
S (0.2500, 0.1994, 0.2516)  3 Sc 2.55-2.60
Th (0.2500, 0.9471, 0.2979)  8 S 2.88-2.94
Sc (0.7500, 0.6756, 0.4992)  7 S 2.55-2.79
S (0.7500, 0.8006, 0.7484)  3 Sc 2.55-2.60
S (0.7500, 0.3900, 0.0565)  4 Sc 2.57-2.62
S (0.2500, 0.5217, 0.3857)  4 Sc 2.55-2.78
S (0.7500, 0.7283, 0.2677)  3 Sc 2.62-2.76
S (0.2500, 0.2717, 0.7323)  3 Sc 2.62-2.76
Sc (0.7500, 0.4428, 0.8377)  6 S 2.58-2.62
S (0.7500, 0.4783, 0.6143)  4 Sc 2.55-2.78

Values from the calculation:
VASP energy	-7.04	eV/atom
formation energy (no corrections)	-1.926	eV/atom

Compound: Ca2InSbAu6
Source: Alexandria
Functional: PBE
Structure: relaxed

Lattice parameters (Å, degrees): 7.3785 7.3785 7.3785 60.00 60.00 90.00
Last column: nearest neighbours and their distance in Å.
Element x y z (fractional)
Au (0.7495, 0.7495, 0.5010)  1 In 2.60, 1 Sb 2.61
In (0.5000, 0.5000, 0.0000)  6 Au 2.60
Ca (0.2500, 0.7500, 0.5000)  12 Au 3.69
Sb (0.0000, 0.0000, 0.0000)  6 Au 2.61
Ca (0.7500, 0.2500, 0.5000)  12 Au 3.69
Au (0.2505, 0.2505, 0.4990)  1 In 2.60, 1 Sb 2.61
Au (0.7495, 0.7495, 0.0000)  1 In 2.60, 1 Sb 2.61
Au (0.2505, 0.2505, 0.0000)  1 In 2.60, 1 Sb 2.61
Au (0.7495, 0.2505, 0.0000)  1 In 2.60, 1 Sb 2.61
Au (0.2505, 0.7495, 0.0000)  1 In 2.60, 1 Sb 2.61

Values from the calculation:
VASP energy	-3.15	eV/atom
formation energy (no corrections)	-0.097	eV/atom

Compound: HfBP2Se
Source: Alexandria
Functional: PBE
Structure: relaxed

Lattice parameters (Å, degrees): 5.0053 4.4876 5.0053 90.00 90.00 90.00
Last column: nearest neighbours and their distance in Å.
Element x y z (fractional)
P (0.5000, 0.0000, 0.0000)  2 Hf 2.50
P (0.0000, 0.0000, 0.5000)  2 Hf 2.50
B (0.0000, 0.5000, 0.0000)  2 Hf 2.24
Hf (0.0000, 0.0000, 0.0000)  2 B 2.24, 4 P 2.50
Se (0.5000, 0.5000, 0.5000)  8 P 3.36, 4 B 3.54

Values from the calculation:
VASP energy	-5.17	eV/atom
formation energy (no corrections)	1.019	eV/atom

Compound: SrNd3Pt8
Source: Alexandria
Functional: PBE
Structure: relaxed

Lattice parameters (Å, degrees): 5.5328 5.5328 9.5799 73.22 73.22 60.00
Last column: nearest neighbours and their distance in Å.
Element x y z (fractional)
Pt (0.4375, 0.9406, 0.1844)  6 Pt 2.75-2.78
Pt (0.9372, 0.4347, 0.6910)  6 Pt 2.75-2.79
Pt (0.9372, 0.9372, 0.6910)  6 Pt 2.75-2.79
Pt (0.4347, 0.9372, 0.6910)  6 Pt 2.75-2.79
Pt (0.6874, 0.6874, 0.9377)  6 Pt 2.75
Nd (0.5016, 0.5016, 0.4951)  12 Pt 3.23-3.28, 3 Sr 3.37, 1 Nd 3.40
Nd (0.3760, 0.3760, 0.8719)  12 Pt 3.21-3.25, 4 Nd 3.40-3.41
Pt (0.1875, 0.1875, 0.4374)  6 Pt 2.78-2.79
Nd (0.9986, 0.9986, 0.0043)  12 Pt 3.21-3.25, 1 Sr 3.37, 3 Nd 3.41
Sr (0.8742, 0.8742, 0.3774)  12 Pt 3.24-3.27, 4 Nd 3.37
Pt (0.9406, 0.4375, 0.1844)  6 Pt 2.75-2.78
Pt (0.4375, 0.4375, 0.1844)  6 Pt 2.75-2.78

Values from the calculation:
VASP energy	-6.37	eV/atom
calculated formation energy	-1.0102	eV/atom

Compound: ZrPAu2
Source: Alexandria
Functional: PBE
Structure: relaxed

Lattice parameters (Å, degrees): 4.3681 3.3694 5.2962 72.21 90.00 90.00
Last column: nearest neighbours and their distance in Å.
Element x y z (fractional)
Zr (0.5000, 0.0000, 0.5000)  2 P 2.67
P (0.5000, 0.5000, 0.0000)  4 Au 2.62, 2 Zr 2.67
Au (0.0000, 0.6458, 0.2305)  2 P 2.62, 3 Au 2.72-2.90
Au (0.0000, 0.3542, 0.7695)  2 P 2.62, 3 Au 2.72-2.90

Values from the calculation:
VASP energy	-5.45	eV/atom
calculated formation energy	-0.3226	eV/atom

Compound: K3La2PaTe6
Source: Alexandria
Functional: PBE
Structure: relaxed

Lattice parameters (Å, degrees): 8.0281 8.0281 8.6889 98.87 98.87 120.00
Last column: nearest neighbours and their distance in Å.
Element x y z (fractional)
Te (0.7494, 0.7494, 0.2169)  1 Pa 3.15, 2 La 3.25
Te (0.3954, 0.0719, 0.2162)  1 Pa 3.15, 2 La 3.25-3.26
Te (0.0719, 0.3954, 0.2162)  1 Pa 3.15, 2 La 3.25-3.26
Pa (0.0000, 0.0000, 0.0000)  6 Te 3.15
Te (0.2506, 0.2506, 0.7831)  1 Pa 3.15, 2 La 3.25
K (0.5000, 0.5000, 0.5000)  6 Te 3.53-3.62
K (0.8305, 0.1695, 0.5000)  6 Te 3.53-3.59
Te (0.9281, 0.6046, 0.7838)  1 Pa 3.15, 2 La 3.25-3.26
La (0.6662, 0.3338, 0.0000)  6 Te 3.25-3.26
K (0.1695, 0.8305, 0.5000)  6 Te 3.53-3.59
La (0.3338, 0.6662, 0.0000)  6 Te 3.25-3.26
Te (0.6046, 0.9281, 0.7838)  1 Pa 3.15, 2 La 3.25-3.26

Values from the calculation:
VASP energy	-4.74	eV/atom
formation energy (no corrections)	-1.287	eV/atom

Compound: Cs2KTcO4
Source: Alexandria
Functional: PBE
Structure: relaxed

Lattice parameters (Å, degrees): 6.6520 7.4007 12.2124 82.97 74.20 63.29
Last column: nearest neighbours and their distance in Å.
Element x y z (fractional)
O (0.5630, 0.1863, 0.0529)  1 Tc 1.84
Cs (0.5607, 0.5000, 0.8786)  2 O 2.95
K (0.7500, 0.5000, 0.5000)  4 O 2.52
Cs (0.9393, 0.5000, 0.1214)  2 O 2.95
Cs (0.1893, 0.0000, 0.6214)  2 O 2.95
O (0.4993, 0.3137, 0.5529)  1 Tc 1.84
O (0.9478, 0.6863, 0.5529)  1 Tc 1.84
O (0.2507, 0.1863, 0.9471)  1 Tc 1.84
K (0.0000, 0.0000, 0.0000)  4 O 2.52
O (0.1870, 0.3137, 0.4471)  1 Tc 1.84
Tc (0.5000, 0.0000, 0.0000)  4 O 1.84
Tc (0.2500, 0.5000, 0.5000)  4 O 1.84
O (0.3659, 0.6863, 0.4471)  1 Tc 1.84
O (0.8022, 0.8137, 0.9471)  1 Tc 1.84
O (0.3841, 0.8137, 0.0529)  1 Tc 1.84
Cs (0.8107, 0.0000, 0.3786)  2 O 2.95

Values from the calculation:
VASP energy	-5.48	eV/atom
formation energy (no corrections)	-1.358	eV/atom

Compound: V2Ge2Pb
Source: Alexandria
Functional: PBE
Structure: relaxed

Lattice parameters (Å, degrees): 8.0221 8.0221 2.8212 90.00 90.00 90.00
Last column: nearest neighbours and their distance in Å.
Element x y z (fractional)
V (0.8892, 0.3892, 0.5000)  1 V 2.51, 4 Ge 2.70
V (0.1108, 0.6108, 0.5000)  1 V 2.51, 4 Ge 2.70
Pb (0.0000, 0.0000, 0.0000)  2 Pb 2.82, 4 Ge 2.98
V (0.3892, 0.1108, 0.5000)  1 V 2.51, 4 Ge 2.70
Pb (0.5000, 0.5000, 0.0000)  2 Pb 2.82, 4 Ge 2.98
Ge (0.8304, 0.6696, 0.0000)  6 V 2.70-2.86, 2 Ge 2.82, 2 Pb 2.98
V (0.6108, 0.8892, 0.5000)  1 V 2.51, 4 Ge 2.70
Ge (0.1696, 0.3304, 0.0000)  6 V 2.70-2.86, 2 Ge 2.82, 2 Pb 2.98
Ge (0.3304, 0.8304, 0.0000)  6 V 2.70-2.86, 2 Ge 2.82, 2 Pb 2.98
Ge (0.6696, 0.1696, 0.0000)  6 V 2.70-2.86, 2 Ge 2.82, 2 Pb 2.98

Values from the calculation:
VASP energy	-6.01	eV/atom
calculated formation energy	0.2266	eV/atom
offset from the most stable computed form	0.44	eV/f.u.

Compound: KRePb2
Source: Alexandria
Functional: PBE
Structure: relaxed

Lattice parameters (Å, degrees): 8.7135 8.7135 8.7135 158.12 150.63 36.93
Last column: nearest neighbours and their distance in Å.
Element x y z (fractional)
Re (0.5255, 0.5255, 0.0000)  6 Pb 2.81-2.82
Pb (0.9938, 0.9938, 0.0000)  4 Re 2.81
K (0.3171, 0.8171, 0.5000)  2 K 3.31, 2 Pb 3.66
Pb (0.6636, 0.1636, 0.5000)  2 Re 2.82

Values from the calculation:
VASP energy	-4.60	eV/atom
calculated formation energy	0.6431	eV/atom
offset from the most stable computed form	0.66	eV/f.u.